Computed, not measured: Cu4PbF8 after structural relaxation at the GGA-PBE level of DFT.

Results
Size of the total moment in μB/f.u.: 2.0
Total DFT energy (no corrections) in eV/atom: -4.24
Crystal system: monoclinic
ΔE_f (raw) in meV/atom: -1538

a b c (Å): 6.637 6.637 7.562
angles (deg): 123.68 123.68 55.33
Atoms (fractional coordinates):
1 Cu 0.218 0.218 0.487
2 Cu 0.248 0.752 0.000
3 Cu 0.752 0.248 0.000
4 Cu 0.782 0.782 0.513
5 Pb 0.500 0.500 0.500
6 F 0.009 0.009 0.837
7 F 0.053 0.520 0.366
8 F 0.480 0.947 0.634
9 F 0.481 0.481 0.151
10 F 0.519 0.519 0.849
11 F 0.520 0.053 0.366
12 F 0.947 0.480 0.634
13 F 0.991 0.991 0.163